[1]
# Ac2Ag2S5

A geometry-optimized Ac2Ag2S5 structure (PBE-GGA, Alexandria via LeMat-Bulk).

The value obtained for the uncorrected energy is -89.82 eV/cell. The value obtained for the raw formation energy is -1.151 eV/atom. As for the mass density: 5819 kg/m3.

The structure belongs to space group C2/m (No. 12); the cell edges are 16.172, 5.030 and 6.193 Å and the angles 90.00°, 109.90° and 90.00°. Symmetry generates all atoms from Ac at (0.112, 0.000, 0.393), Ag at (0.104, 0.500, 0.903), S at (0.000, 0.500, 0.500), S at (0.089, 0.000, 0.870) and S at (0.196, 0.500, 0.305).

[2]
# CrAs6Ru

A geometry-optimized CrAs6Ru structure (PBE-GGA, Alexandria via LeMat-Bulk).

The value obtained for the uncorrected energy is -191.78 eV/cell. The value obtained for the formation energy is -0.144 eV per atom. As for the mass density: 6219 kg/m3.

The structure belongs to space group C2/m (No. 12); the cell edges are 12.168, 8.598 and 8.638 Å and the angles 90.00°, 134.59° and 90.00°. Symmetry generates all atoms from Cr at (0.250, 0.250, 0.000), As at (0.005, 0.149, 0.151), As at (0.145, 0.500, 0.491), As at (0.146, 0.500, 0.788), As at (0.147, 0.146, 0.643) and Ru at (0.250, 0.250, 0.500).

Q: The lowest uncorrected energy belongs to which entry?
A: CrAs6Ru